HgPtC2 | the Alexandria database | GGA-PBE | optimized geometry; volume = 15.46 Å³ per atom
1.0
-2.5091 2.5091 4.9126
2.5091 -2.5091 4.9126
2.5091 2.5091 -4.9126
Hg Pt C
2 2 4
Cartesian
0.0000 0.0000 0.0000
0.0000 2.5091 2.4563
2.5091 0.0000 2.4563
0.0000 0.0000 4.9126
1.2545 -0.9449 3.6845
1.5641 1.2545 1.2282
1.2545 3.4540 -1.2282
0.9449 1.2545 6.1408


Ho2ErIn3 | the Alexandria database | GGA-PBE | optimized geometry; volume = 28.03 Å³ per atom
1.0
1.7810 -14.5111 0.0000
1.7810 14.5111 0.0000
0.0000 0.0000 6.5076
Ho Er In
4 2 6
Cartesian
1.7810 14.4091 4.8807
1.7810 10.1378 1.6269
1.7810 -10.1378 4.8807
1.7810 -14.4091 1.6269
1.7810 4.9205 1.6269
1.7810 -4.9205 4.8807
1.7810 7.0175 4.8807
1.7810 2.2164 3.2857
1.7810 2.2164 6.4757
1.7810 -2.2164 0.0319
1.7810 -2.2164 3.2219
1.7810 -7.0175 1.6269


MnBe2Rh | the Alexandria database | GGA-PBE | optimized geometry; volume = 10.59 Å³ per atom
1.0
2.7964 0.0000 0.0000
0.0000 2.7964 0.0000
0.0000 0.0000 5.4162
Mn Be Rh
1 2 1
Cartesian
0.0000 0.0000 0.0000
1.3982 1.3982 1.4195
1.3982 1.3982 3.9967
0.0000 0.0000 2.7081


| no. | raw total energy (eV per cell) |
| --- | --- |
| 1 | -37.81 |
| 2 | -47.48 |
| 3 | -25.39 |